Compound: PmVSbO6
Source: the Alexandria database
Functional: PBE with a Hubbard U
Structure: optimized geometry

The calculation puts the total energy at -132.4 eV/cell.

Geometry as CIF:
```
data_PmVSbO6
_cell_length_a 5.2384
_cell_length_b 5.2384
_cell_length_c 10.1164
_cell_angle_alpha 90.00
_cell_angle_beta 90.00
_cell_angle_gamma 120.00
_space_group_name_H-M_alt 'P -3 1 c'
_space_group_IT_number 163
_space_group_name_Hall '-P 3 2c'
loop_
_atom_site_label
_atom_site_type_symbol
_atom_site_fract_x
_atom_site_fract_y
_atom_site_fract_z
Pm1 Pm 0.0000 0.0000 0.0000
V1 V 0.3333 0.6667 0.2500
Sb1 Sb 0.3333 0.6667 0.7500
O1 O 0.0050 0.3717 0.1417
```